1.
{
  "formula": "LaNd2Dy7",
  "functional": "PBE-GGA",
  "state": "relaxed",
  "de_polymorph_mev_per_atom": 653,
  "dos_at_fermi_per_ev_cell": 14.84,
  "density_g_cm3": 6.5,
  "crystal_system": "orthorhombic",
  "lattice": [[4.3294, -8.3423, 0.0000], [4.3294, 8.3423, 0.0000], [0.0000, 0.0000, 5.5006]],
  "species": ["La", "Nd", "Nd", "Dy", "Dy", "Dy", "Dy", "Dy", "Dy", "Dy"],
  "frac_coords": [[0.0000, 0.0000, 0.0000], [0.2972, 0.7028, 0.5000], [0.7028, 0.2972, 0.5000], [0.0649, 0.2900, 0.5000], [0.2120, 0.7880, 0.0000], [0.2900, 0.0649, 0.5000], [0.5000, 0.5000, 0.5000], [0.7100, 0.9351, 0.5000], [0.7880, 0.2120, 0.0000], [0.9351, 0.7100, 0.5000]]
}

***

2.
{
  "formula": "LiLaC",
  "functional": "PBE-GGA",
  "state": "relaxed",
  "de_polymorph_mev_per_atom": 0,
  "dos_at_fermi_per_ev_cell": 3.41,
  "density_g_cm3": 3.6,
  "crystal_system": "monoclinic",
  "lattice": [[3.9522, -1.8554, 0.0000], [3.9522, 1.8554, 0.0000], [-3.0413, 0.0000, 9.9791]],
  "species": ["Li", "Li", "La", "La", "C", "C"],
  "frac_coords": [[0.0000, 0.0000, 0.0000], [0.6459, 0.6459, 0.8546], [0.2486, 0.2486, 0.5821], [0.8433, 0.8433, 0.2915], [0.4837, 0.4837, 0.4698], [0.6084, 0.6084, 0.4033]]
}

***

3.
{
  "formula": "Ac2LaPd2",
  "functional": "PBE-GGA",
  "state": "relaxed",
  "de_polymorph_mev_per_atom": 38,
  "dos_at_fermi_per_ev_cell": 8.94,
  "density_g_cm3": 8.3,
  "crystal_system": "monoclinic",
  "lattice": [[6.2596, 0.0000, 0.0000], [0.0000, 4.4861, 0.0000], [-0.7368, 0.0000, 11.4910]],
  "species": ["Ac", "Ac", "Ac", "Ac", "La", "La", "Pd", "Pd", "Pd", "Pd"],
  "frac_coords": [[0.1216, 0.2500, 0.3794], [0.2490, 0.2500, 0.0490], [0.7510, 0.7500, 0.9510], [0.8784, 0.7500, 0.6206], [0.3753, 0.2500, 0.7068], [0.6247, 0.7500, 0.2932], [0.2419, 0.7500, 0.8690], [0.3601, 0.7500, 0.5257], [0.6399, 0.2500, 0.4743], [0.7581, 0.2500, 0.1310]]
}

***

4.
{
  "formula": "CdPb4F10",
  "functional": "PBE-GGA",
  "state": "relaxed",
  "total_energy_ev_per_atom": -4.649,
  "dos_at_fermi_per_ev_cell": 0.00,
  "density_g_cm3": 7.3,
  "crystal_system": "trigonal",
  "lattice": [[2.0921, 1.2078, 16.9261], [-2.0921, 1.2078, 16.9261], [0.0000, -2.4157, 16.9261]],
  "species": ["Cd", "Pb", "Pb", "Pb", "Pb", "F", "F", "F", "F", "F", "F", "F", "F", "F", "F"],
  "frac_coords": [[0.0000, 0.0000, 0.0000], [0.2011, 0.2011, 0.2011], [0.3960, 0.3960, 0.3960], [0.6040, 0.6040, 0.6040], [0.7989, 0.7989, 0.7989], [0.0447, 0.0447, 0.0447], [0.1500, 0.1500, 0.1500], [0.2532, 0.2532, 0.2532], [0.3468, 0.3468, 0.3468], [0.4485, 0.4485, 0.4485], [0.5515, 0.5515, 0.5515], [0.6532, 0.6532, 0.6532], [0.7468, 0.7468, 0.7468], [0.8500, 0.8500, 0.8500], [0.9553, 0.9553, 0.9553]]
}

***

5.
{
  "formula": "Co3Tc4",
  "functional": "PBE-GGA",
  "state": "relaxed",
  "de_polymorph_mev_per_atom": 0,
  "dos_at_fermi_per_ev_cell": 10.67,
  "density_g_cm3": 10.6,
  "crystal_system": "hexagonal",
  "lattice": [[4.6678, 0.0000, 0.0000], [-2.3339, 4.0425, 0.0000], [0.0000, 0.0000, 4.7335]],
  "species": ["Co", "Co", "Co", "Tc", "Tc", "Tc", "Tc"],
  "frac_coords": [[0.0000, 0.5000, 0.0000], [0.5000, 0.0000, 0.0000], [0.5000, 0.5000, 0.0000], [0.0000, 0.0000, 0.2555], [0.0000, 0.0000, 0.7445], [0.3333, 0.6667, 0.5000], [0.6667, 0.3333, 0.5000]]
}

***

6.
{
  "formula": "La2PaTe2N2",
  "functional": "PBE-GGA",
  "state": "relaxed",
  "total_energy_ev_per_atom": -7.531,
  "dos_at_fermi_per_ev_cell": 6.40,
  "density_g_cm3": 7.8,
  "crystal_system": "tetragonal",
  "lattice": [[-2.2393, 2.2393, 8.4282], [2.2393, -2.2393, 8.4282], [2.2393, 2.2393, -8.4282]],
  "species": ["La", "La", "Pa", "Te", "Te", "N", "N"],
  "frac_coords": [[0.1087, 0.1087, 0.0000], [0.8913, 0.8913, 0.0000], [0.5000, 0.5000, 0.0000], [0.3159, 0.3159, 0.0000], [0.6841, 0.6841, 0.0000], [0.0000, 0.5000, 0.5000], [0.5000, 0.0000, 0.5000]]
}

***

7.
{
  "formula": "ThMgSc2Pd4",
  "functional": "PBE-GGA",
  "state": "relaxed",
  "total_energy_ev_per_atom": -6.091,
  "dos_at_fermi_per_ev_cell": 6.94,
  "density_g_cm3": 8.2,
  "crystal_system": "trigonal",
  "lattice": [[2.3360, 1.3487, 8.2548], [-2.3360, 1.3487, 8.2548], [0.0000, -2.6973, 8.2548]],
  "species": ["Th", "Mg", "Sc", "Sc", "Pd", "Pd", "Pd", "Pd"],
  "frac_coords": [[0.0000, 0.0000, 0.0000], [0.5000, 0.5000, 0.5000], [0.2395, 0.2395, 0.2395], [0.7605, 0.7605, 0.7605], [0.1251, 0.1251, 0.1251], [0.3915, 0.3915, 0.3915], [0.6085, 0.6085, 0.6085], [0.8749, 0.8749, 0.8749]]
}

***

8.
{
  "formula": "ZrFeN",
  "functional": "PBE-GGA",
  "state": "relaxed",
  "de_polymorph_mev_per_atom": 199,
  "dos_at_fermi_per_ev_cell": 3.86,
  "density_g_cm3": 7.0,
  "crystal_system": "orthorhombic",
  "lattice": [[3.1503, 0.0000, 0.0000], [0.0000, 3.6513, 0.0000], [0.0000, 0.0000, 6.6904]],
  "species": ["Zr", "Zr", "Fe", "Fe", "N", "N"],
  "frac_coords": [[0.0000, 0.0000, 0.0000], [0.0000, 0.0000, 0.4905], [0.5000, 0.5000, 0.2682], [0.5000, 0.5000, 0.6940], [0.5000, 0.0000, 0.2468], [0.5000, 0.5000, 0.9643]]
}

***

9.
{
  "formula": "TlAu",
  "functional": "PBE-GGA",
  "state": "relaxed",
  "total_energy_ev_per_atom": -2.596,
  "dos_at_fermi_per_ev_cell": 4.22,
  "density_g_cm3": 8.1,
  "crystal_system": "cubic",
  "lattice": [[-4.3549, 4.3549, 4.3549], [4.3549, -4.3549, 4.3549], [4.3549, 4.3549, -4.3549]],
  "species": ["Tl", "Tl", "Tl", "Tl", "Au", "Au", "Au", "Au"],
  "frac_coords": [[0.0000, 0.0000, 0.4022], [0.0000, 0.4022, 0.0000], [0.4022, 0.0000, 0.0000], [0.5978, 0.5978, 0.5978], [0.0000, 0.0000, 0.7619], [0.0000, 0.7619, 0.0000], [0.2381, 0.2381, 0.2381], [0.7619, 0.0000, 0.0000]]
}

***

10.
{
  "formula": "ScAsNO2",
  "functional": "PBE-GGA",
  "state": "relaxed",
  "total_energy_ev_per_atom": -6.286,
  "dos_at_fermi_per_ev_cell": 2.17,
  "density_g_cm3": 4.1,
  "crystal_system": "tetragonal",
  "lattice": [[3.9932, 0.0000, 0.0000], [0.0000, 3.9932, 0.0000], [0.0000, 0.0000, 4.2528]],
  "species": ["Sc", "As", "N", "O", "O"],
  "frac_coords": [[0.0000, 0.0000, 0.0000], [0.5000, 0.5000, 0.5000], [0.0000, 0.0000, 0.5000], [0.0000, 0.5000, 0.0000], [0.5000, 0.0000, 0.0000]]
}

***

11.
{
  "formula": "Ho2Tm5Th4",
  "functional": "PBE-GGA",
  "state": "relaxed",
  "de_polymorph_mev_per_atom": 170,
  "dos_at_fermi_per_ev_cell": 15.97,
  "density_g_cm3": 9.9,
  "crystal_system": "monoclinic",
  "lattice": [[8.3090, -3.2984, 0.0000], [8.3090, 3.2984, 0.0000], [-1.1532, 0.0000, 6.4354]],
  "species": ["Ho", "Ho", "Tm", "Tm", "Tm", "Tm", "Tm", "Th", "Th", "Th", "Th"],
  "frac_coords": [[0.1950, 0.1950, 0.3202], [0.8050, 0.8050, 0.6798], [0.0000, 0.0000, 0.5000], [0.1746, 0.6552, 0.0947], [0.3448, 0.8254, 0.9053], [0.6552, 0.1746, 0.0947], [0.8254, 0.3448, 0.9053], [0.2480, 0.2480, 0.8385], [0.4061, 0.4061, 0.5893], [0.5939, 0.5939, 0.4107], [0.7520, 0.7520, 0.1615]]
}

***

12.
{
  "formula": "AgPdIO2",
  "functional": "PBE-GGA",
  "state": "relaxed",
  "de_polymorph_mev_per_atom": 385,
  "dos_at_fermi_per_ev_cell": 6.06,
  "density_g_cm3": 5.4,
  "crystal_system": "tetragonal",
  "lattice": [[3.9478, 0.0000, 0.0000], [0.0000, 3.9478, 0.0000], [0.0000, 0.0000, 7.2991]],
  "species": ["Ag", "Pd", "I", "O", "O"],
  "frac_coords": [[0.0000, 0.0000, 0.0000], [0.5000, 0.5000, 0.5000], [0.0000, 0.0000, 0.5000], [0.0000, 0.5000, 0.0000], [0.5000, 0.0000, 0.0000]]
}